No. 1
Density functional theory data (PBE) for a geometry-optimized Pr3Ho2Tl2 structure.

a = 5.0513 Å, b = 3.5884 Å, c = 12.3171 Å
α = 90.00°, β = 78.17°, γ = 90.00°
With the nearest neighbours (Å) after each atom.
Atoms (fractional coordinates):
Tl: 0.4267 0.5000 0.1466  1 Ho 3.37, 3 Tl 3.53-3.59, 8 Pr 3.55-3.57
Tl: 0.5733 0.5000 0.8534  1 Ho 3.37, 3 Tl 3.53-3.59, 8 Pr 3.55-3.57
Pr: 0.8547 0.0000 0.2906  3 Pr 3.50-3.59, 6 Ho 3.50-3.86, 4 Tl 3.55
Ho: 0.7132 0.5000 0.5737  2 Ho 3.09, 1 Tl 3.37
Ho: 0.2868 0.5000 0.4263  2 Ho 3.09, 1 Tl 3.37
Pr: 0.0000 0.0000 0.0000  4 Pr 3.50-3.59, 8 Tl 3.57
Pr: 0.1453 0.0000 0.7094  3 Pr 3.50-3.59, 6 Ho 3.50-3.86, 4 Tl 3.55


No. 2
Density functional theory data (PBE) for a geometry-optimized Pr3Ho2Tl7 structure.

a = 5.7152 Å, b = 5.5330 Å, c = 12.2415 Å
α = 103.06°, β = 90.00°, γ = 90.00°
With the nearest neighbours (Å) after each atom.
Atoms (fractional coordinates):
Tl: 0.0000 0.5774 0.1548  2 Ho 3.19, 3 Tl 3.33-3.52, 4 Pr 3.40-3.52
Tl: 0.0000 0.7249 0.4497  2 Tl 3.02, 3 Ho 3.12-3.37, 2 Pr 3.21
Ho: 0.0000 0.8558 0.7116  8 Tl 3.12-3.44
Pr: 0.5000 0.3364 0.6728  6 Tl 3.21-3.52
Tl: 0.0000 0.0000 0.0000  8 Tl 3.33-3.49, 2 Ho 3.44
Tl: 0.5000 0.0838 0.1677  2 Ho 3.20, 4 Pr 3.36-3.41, 2 Tl 3.49
Ho: 0.0000 0.1442 0.2884  8 Tl 3.12-3.44
Tl: 0.0000 0.4226 0.8452  2 Ho 3.19, 3 Tl 3.33-3.52, 4 Pr 3.40-3.52
Tl: 0.5000 0.9162 0.8323  2 Ho 3.20, 4 Pr 3.36-3.41, 2 Tl 3.49
Tl: 0.0000 0.2751 0.5503  2 Tl 3.02, 3 Ho 3.12-3.37, 2 Pr 3.21
Pr: 0.5000 0.5000 0.0000  8 Tl 3.40-3.41
Pr: 0.5000 0.6636 0.3272  6 Tl 3.21-3.52


No. 3
Density functional theory data (PBE) for a geometry-optimized Pr4HoTl structure.

a = 3.7132 Å, b = 3.7132 Å, c = 14.6140 Å
α = 90.00°, β = 90.00°, γ = 90.00°
With the nearest neighbours (Å) after each atom.
Atoms (fractional coordinates):
Pr: 0.5000 0.5000 0.1713  4 Ho 3.63, 8 Pr 3.71
Pr: 0.5000 0.5000 0.8287  4 Ho 3.63, 8 Pr 3.71
Pr: 0.0000 0.0000 0.6491  4 Tl 3.41, 8 Pr 3.71
Tl: 0.5000 0.5000 0.5000  8 Pr 3.41, 4 Tl 3.71
Pr: 0.0000 0.0000 0.3509  4 Tl 3.41, 8 Pr 3.71
Ho: 0.0000 0.0000 0.0000  8 Pr 3.63, 4 Ho 3.71


No. 4
Density functional theory data (PBE) for a geometry-optimized Pr8Ho6Tl structure.

a = 6.5944 Å, b = 9.4107 Å, c = 9.4107 Å
α = 120.00°, β = 90.00°, γ = 90.00°
With the nearest neighbours (Å) after each atom.
Atoms (fractional coordinates):
Pr: 0.8210 0.0432 0.2749  1 Tl 3.21, 3 Pr 3.32-3.37, 2 Ho 3.37-3.51
Pr: 0.1790 0.2749 0.2316  1 Tl 3.21, 3 Pr 3.32-3.37, 2 Ho 3.37-3.51
Pr: 0.1790 0.7684 0.0433  1 Tl 3.21, 3 Pr 3.32-3.37, 2 Ho 3.37-3.51
Pr: 0.8210 0.2317 0.9568  1 Tl 3.21, 3 Pr 3.32-3.37, 2 Ho 3.37-3.51
Ho: 0.6636 0.9002 0.5504  3 Ho 3.30-3.68, 4 Pr 3.37-3.67
Ho: 0.6636 0.6503 0.0998  3 Ho 3.30-3.68, 4 Pr 3.37-3.67
Pr: 0.1790 0.9567 0.7251  1 Tl 3.21, 3 Pr 3.32-3.37, 2 Ho 3.37-3.51
Pr: 0.1420 0.6667 0.3333  3 Pr 3.32
Ho: 0.6636 0.4496 0.3497  3 Ho 3.30-3.68, 4 Pr 3.37-3.67
Tl: 0.5000 0.0000 0.0000  6 Pr 3.21
Pr: 0.8581 0.3333 0.6667  3 Pr 3.32
Ho: 0.3365 0.0999 0.4496  3 Ho 3.30-3.68, 4 Pr 3.37-3.67
Ho: 0.3365 0.5504 0.6503  3 Ho 3.30-3.68, 4 Pr 3.37-3.67
Ho: 0.3365 0.3497 0.9001  3 Ho 3.30-3.68, 4 Pr 3.37-3.67
Pr: 0.8210 0.7251 0.7683  1 Tl 3.21, 3 Pr 3.32-3.37, 2 Ho 3.37-3.51


Respective ΔH_f (0 K) values: -10; -13; -10; 8 kJ per mole of atoms.